TbAlAg2O4 | PBE-GGA | relaxed

Geometry as extended XYZ:
```
8
Lattice="-2.8983 1.3388 -0.0691 0.4134 -2.8414 1.3975 2.3822 5.7214 10.9283" Properties=species:S:1:pos:R:3 pbc="T T T"
Ag -0.0637 0.0575 3.7842
Ag -0.0390 4.1613 8.4725
Al 1.1911 2.8607 5.4642
O -0.4581 -0.8899 1.9747
O 0.3353 1.0158 5.6146
O -0.4380 3.2031 6.6421
O 0.3554 5.1087 10.2820
Tb 0.0000 0.0000 0.0000
```

## Properties
The total energy is -49.09 eV for the cell shown.

AlAgTeO | PBE-GGA | relaxed

Geometry as extended XYZ:
```
8
Lattice="4.1318 0.0000 0.0000 0.0000 7.6610 0.0000 0.0000 0.0000 5.6233" Properties=species:S:1:pos:R:3 pbc="T T T"
Ag 0.0000 2.2245 0.6915
Ag 0.0000 5.4366 3.5031
Al 2.0659 6.8620 0.1196
Al 2.0659 0.7990 2.9312
O 2.0659 0.5641 1.2048
O 2.0659 7.0969 4.0164
Te 0.0000 5.2822 0.7453
Te 0.0000 2.3789 3.5569
```

## Properties
The total energy is -38.24 eV for the cell shown. As for the energy above the most stable polymorph in this dataset: 0.0 kJ/mol of atoms.

AlAgTeO | PBE-GGA | relaxed

Geometry as extended XYZ:
```
8
Lattice="3.7146 0.0000 0.0000 0.0000 3.7146 0.0000 0.0000 0.0000 9.9739" Properties=species:S:1:pos:R:3 pbc="T T T"
Ag 2.7860 0.9287 4.9869
Ag 0.9287 2.7860 4.9869
Al 0.9287 0.9287 0.7840
Al 2.7860 2.7860 9.1899
O 2.7860 0.9287 0.0000
O 0.9287 2.7860 0.0000
Te 2.7860 2.7860 2.7379
Te 0.9287 0.9287 7.2360
```

## Properties
The total energy is -36.33 eV for the cell shown. As for the energy above the most stable polymorph in this dataset: 23.0 kJ/mol of atoms.

Copy entry 2 word for word.
AlAgTeO | PBE-GGA | relaxed

Geometry as extended XYZ:
```
8
Lattice="4.1318 0.0000 0.0000 0.0000 7.6610 0.0000 0.0000 0.0000 5.6233" Properties=species:S:1:pos:R:3 pbc="T T T"
Ag 0.0000 2.2245 0.6915
Ag 0.0000 5.4366 3.5031
Al 2.0659 6.8620 0.1196
Al 2.0659 0.7990 2.9312
O 2.0659 0.5641 1.2048
O 2.0659 7.0969 4.0164
Te 0.0000 5.2822 0.7453
Te 0.0000 2.3789 3.5569
```

## Properties
The total energy is -38.24 eV for the cell shown. As for the energy above the most stable polymorph in this dataset: 0.0 kJ/mol of atoms.

Which formula does entry 2 have?
AlAgTeO